Version P
Crystalline Ti3BiPt at its relaxed geometry. Source: Alexandria, functional GGA-PBE.

a b c (Å): 4.848 4.848 4.848
angles (deg): 90.00 90.00 90.00
Fractional positions:
Ti 0.000 0.000 0.500
Ti 0.000 0.500 0.000
Ti 0.500 0.000 0.000
Bi 0.500 0.500 0.500
Pt 0.000 0.000 0.000

Computed properties:
Space-group type: Pm-3m (221)


Version Q
Crystalline Ti3BiPt at its relaxed geometry. Source: Alexandria, functional GGA-PBE.

a b c (Å): 5.009 5.009 5.009
angles (deg): 90.00 90.00 90.00
Fractional positions:
Ti 0.000 0.000 0.500
Ti 0.000 0.500 0.000
Ti 0.500 0.000 0.000
Bi 0.000 0.000 0.000
Pt 0.500 0.500 0.500

Computed properties:
Space-group type: Pm-3m (221)


Winner for stability: version P


Version P
Crystalline TlBi3Pt at its relaxed geometry. Source: Alexandria, functional GGA-PBE.

a b c (Å): 6.828 6.828 10.745
angles (deg): 97.78 97.78 37.48
Fractional positions:
Tl 0.158 0.158 0.101
Tl 0.842 0.842 0.899
Bi 0.064 0.064 0.648
Bi 0.331 0.331 0.609
Bi 0.433 0.433 0.135
Bi 0.567 0.567 0.865
Bi 0.669 0.669 0.391
Bi 0.936 0.936 0.352
Pt 0.295 0.295 0.340
Pt 0.705 0.705 0.660

Computed properties:
Space-group type: C2/m (12)


Version Q
Crystalline TlBi3Pt at its relaxed geometry. Source: Alexandria, functional GGA-PBE.

a b c (Å): 5.542 5.542 5.542
angles (deg): 90.00 90.00 90.00
Fractional positions:
Tl 0.000 0.000 0.000
Bi 0.000 0.500 0.500
Bi 0.500 0.000 0.500
Bi 0.500 0.500 0.000
Pt 0.500 0.500 0.500

Computed properties:
Space-group type: Pm-3m (221)


Winner for stability: version P


Version P
Crystalline TlBi2Pt2 at its relaxed geometry. Source: Alexandria, functional GGA-PBE.

a b c (Å): 7.998 7.998 3.698
angles (deg): 90.00 90.00 90.00
Fractional positions:
Tl 0.000 0.000 0.000
Tl 0.500 0.500 0.000
Bi 0.160 0.340 0.500
Bi 0.340 0.840 0.500
Bi 0.660 0.160 0.500
Bi 0.840 0.660 0.500
Pt 0.129 0.629 0.000
Pt 0.371 0.129 0.000
Pt 0.629 0.871 0.000
Pt 0.871 0.371 0.000

Computed properties:
Space-group type: P4/mbm (127)


Version Q
Crystalline TlBi2Pt2 at its relaxed geometry. Source: Alexandria, functional GGA-PBE.

a b c (Å): 8.592 8.592 3.279
angles (deg): 90.00 90.00 90.00
Fractional positions:
Tl 0.000 0.000 0.000
Tl 0.500 0.500 0.000
Bi 0.143 0.357 0.000
Bi 0.357 0.857 0.000
Bi 0.643 0.143 0.000
Bi 0.857 0.643 0.000
Pt 0.147 0.647 0.500
Pt 0.353 0.147 0.500
Pt 0.647 0.853 0.500
Pt 0.853 0.353 0.500

Computed properties:
Space-group type: P4/mbm (127)


Version R
Crystalline TlBi2Pt2 at its relaxed geometry. Source: Alexandria, functional GGA-PBE.

a b c (Å): 5.753 4.224 10.363
angles (deg): 90.00 95.20 90.00
Fractional positions:
Tl 0.101 0.250 0.289
Tl 0.899 0.750 0.711
Bi 0.253 0.250 0.953
Bi 0.406 0.250 0.629
Bi 0.594 0.750 0.371
Bi 0.747 0.750 0.047
Pt 0.177 0.750 0.497
Pt 0.253 0.750 0.129
Pt 0.747 0.250 0.871
Pt 0.823 0.250 0.503

Computed properties:
Space-group type: P2_1/m (11)


Version S
Crystalline TlBi2Pt2 at its relaxed geometry. Source: Alexandria, functional GGA-PBE.

a b c (Å): 6.488 6.488 4.936
angles (deg): 100.62 100.62 40.02
Fractional positions:
Tl 0.000 0.000 0.000
Bi 0.360 0.360 0.472
Bi 0.640 0.640 0.528
Pt 0.212 0.212 0.847
Pt 0.788 0.788 0.153

Computed properties:
Space-group type: C2/m (12)


Winner for stability: version R


Version P
Crystalline TlBi2Pt2 at its relaxed geometry. Source: Alexandria, functional GGA-PBE.

a b c (Å): 6.871 6.871 6.871
angles (deg): 138.84 138.84 59.62
Fractional positions:
Tl 0.000 0.000 0.000
Bi 0.360 0.360 0.000
Bi 0.640 0.640 0.000
Pt 0.250 0.750 0.500
Pt 0.750 0.250 0.500

Computed properties:
Space-group type: I4/mmm (139)


Version Q
Crystalline TlBi2Pt2 at its relaxed geometry. Source: Alexandria, functional GGA-PBE.

a b c (Å): 6.226 6.226 6.226
angles (deg): 131.77 131.77 70.59
Fractional positions:
Tl 0.000 0.000 0.000
Bi 0.250 0.750 0.500
Bi 0.750 0.250 0.500
Pt 0.370 0.370 0.000
Pt 0.630 0.630 0.000

Computed properties:
Space-group type: I4/mmm (139)


Winner for stability: version Q


Version P
Crystalline TlBiPt at its relaxed geometry. Source: Alexandria, functional GGA-PBE.

a b c (Å): 6.980 6.980 6.980
angles (deg): 151.20 151.20 41.18
Fractional positions:
Tl 0.000 0.000 0.000
Bi 0.734 0.734 0.000
Pt 0.346 0.346 0.000

Computed properties:
Space-group type: I4mm (107)


Version Q
Crystalline TlBiPt at its relaxed geometry. Source: Alexandria, functional GGA-PBE.

a b c (Å): 4.025 5.797 7.277
angles (deg): 80.32 74.35 70.83
Fractional positions:
Tl 0.178 0.233 0.418
Tl 0.822 0.767 0.582
Bi 0.421 0.296 0.853
Bi 0.579 0.704 0.147
Pt 0.159 0.812 0.875
Pt 0.841 0.188 0.125

Computed properties:
Space-group type: P-1 (2)


Version R
Crystalline TlBiPt at its relaxed geometry. Source: Alexandria, functional GGA-PBE.

a b c (Å): 3.966 3.966 5.968
angles (deg): 90.00 90.00 120.00
Fractional positions:
Tl 0.000 0.000 0.000
Bi 0.333 0.667 0.450
Pt 0.667 0.333 0.705

Computed properties:
Space-group type: P3m1 (156)


Version S
Crystalline TlBiPt at its relaxed geometry. Source: Alexandria, functional GGA-PBE.

a b c (Å): 4.794 4.794 4.794
angles (deg): 60.00 60.00 60.00
Fractional positions:
Tl 0.000 0.000 0.000
Bi 0.500 0.500 0.500
Pt 0.750 0.750 0.750

Computed properties:
Space-group type: F-43m (216)


Winner for stability: version S